1.
This record from OQMD via LeMat-Bulk describes a relaxed structure of SmCuPbSe2S. The functional is GGA-PBE.

CIF file:
```
data_SmCuPbSe2S
_cell_length_a 4.057
_cell_length_b 13.536
_cell_length_c 10.501
_cell_angle_alpha 90.00
_cell_angle_beta 90.00
_cell_angle_gamma 90.00
_space_group_name_H-M_alt 'C m c m'
_space_group_IT_number 63
_space_group_name_Hall '-C 2c 2'
loop_
_atom_site_label
_atom_site_type_symbol
_atom_site_fract_x
_atom_site_fract_y
_atom_site_fract_z
Sm1 Sm 0.000 0.000 0.000
Cu1 Cu 0.000 0.473 0.250
Pb1 Pb 0.000 0.254 0.750
Se1 Se 0.000 0.354 0.069
S1 S 0.000 0.071 0.250
```

Properties
Crystal system ... orthorhombic
M_tot ... 0.0 Bohr magnetons per cell
Calculated total energy ... -29.5 eV per formula unit

=====

2.
This record from OQMD via LeMat-Bulk describes a relaxed structure of ZnS. The functional is GGA-PBE.

CIF file:
```
data_ZnS
_cell_length_a 3.8361
_cell_length_b 3.8361
_cell_length_c 62.6868
_cell_angle_alpha 90.00
_cell_angle_beta 90.00
_cell_angle_gamma 120.00
_space_group_name_H-M_alt 'P 63 m c'
_space_group_IT_number 186
_space_group_name_Hall 'P 6c -2c'
loop_
_atom_site_label
_atom_site_type_symbol
_atom_site_fract_x
_atom_site_fract_y
_atom_site_fract_z
Zn1 Zn 0.0000 0.0000 0.0000
Zn2 Zn 0.0000 0.0000 0.1500
Zn3 Zn 0.0000 0.0000 0.3000
Zn4 Zn 0.3333 0.6667 0.0500
Zn5 Zn 0.3333 0.6667 0.2000
Zn6 Zn 0.3333 0.6667 0.3500
Zn7 Zn 0.3333 0.6667 0.4500
Zn8 Zn 0.3333 0.6667 0.6000
Zn9 Zn 0.3333 0.6667 0.7500
Zn10 Zn 0.3333 0.6667 0.9000
S1 S 0.0000 0.0000 0.0375
S2 S 0.0000 0.0000 0.1875
S3 S 0.0000 0.0000 0.3375
S4 S 0.3333 0.6667 0.0875
S5 S 0.3333 0.6667 0.2375
S6 S 0.3333 0.6667 0.3875
S7 S 0.3333 0.6667 0.4875
S8 S 0.3333 0.6667 0.6375
S9 S 0.3333 0.6667 0.7875
S10 S 0.3333 0.6667 0.9375
```

Properties
Crystal system ... hexagonal
Calculated total energy ... -7.0 eV per formula unit

=====

3.
This record from OQMD via LeMat-Bulk describes a relaxed structure of HoAlPdAu. The functional is GGA-PBE.

CIF file:
```
data_HoAlPdAu
_cell_length_a 4.4322
_cell_length_b 4.4322
_cell_length_c 9.1244
_cell_angle_alpha 90.00
_cell_angle_beta 90.00
_cell_angle_gamma 120.00
_space_group_name_H-M_alt 'P 63 m c'
_space_group_IT_number 186
_space_group_name_Hall 'P 6c -2c'
loop_
_atom_site_label
_atom_site_type_symbol
_atom_site_fract_x
_atom_site_fract_y
_atom_site_fract_z
Ho1 Ho 0.3333 0.6667 0.0000
Al1 Al 0.0000 0.0000 0.2609
Pd1 Pd 0.3333 0.6667 0.3333
Au1 Au 0.3333 0.6667 0.6683
```

Properties
Crystal system ... hexagonal
M_tot ... 0.0 Bohr magnetons per cell
Polymorph energy (0 for the lowest one) ... 0.0 meV per atom
Calculated total energy ... -20.3 eV per formula unit

=====

4.
This record from OQMD via LeMat-Bulk describes a relaxed structure of GdTeNO. The functional is GGA-PBE.

CIF file:
```
data_GdTeNO
_cell_length_a 4.076
_cell_length_b 6.127
_cell_length_c 6.484
_cell_angle_alpha 90.00
_cell_angle_beta 90.00
_cell_angle_gamma 90.00
_space_group_name_H-M_alt 'P m c 21'
_space_group_IT_number 26
_space_group_name_Hall 'P 2c -2'
loop_
_atom_site_label
_atom_site_type_symbol
_atom_site_fract_x
_atom_site_fract_y
_atom_site_fract_z
Gd1 Gd 0.000 0.200 0.000
Te1 Te 0.500 0.333 0.404
N1 N 0.500 0.381 0.063
O1 O 0.000 0.078 0.695
```

Properties
Crystal system ... orthorhombic
M_tot ... 0.0 Bohr magnetons per cell
Polymorph energy (0 for the lowest one) ... 396.7 meV per atom
Calculated total energy ... -25.4 eV per formula unit

=====

5.
This record from OQMD via LeMat-Bulk describes a relaxed structure of LiZr. The functional is GGA-PBE.

CIF file:
```
data_LiZr
_cell_length_a 5.805
_cell_length_b 5.805
_cell_length_c 5.805
_cell_angle_alpha 90.00
_cell_angle_beta 90.00
_cell_angle_gamma 90.00
_space_group_name_H-M_alt 'F -4 3 m'
_space_group_IT_number 216
_space_group_name_Hall 'F -4 2 3'
loop_
_atom_site_label
_atom_site_type_symbol
_atom_site_fract_x
_atom_site_fract_y
_atom_site_fract_z
Li1 Li 0.000 0.000 0.000
Zr1 Zr 0.250 0.250 0.750
```

Properties
Crystal system ... cubic
M_tot ... 7.5 Bohr magnetons per cell
Polymorph energy (0 for the lowest one) ... 1729.5 meV per atom
Calculated total energy ... -6.8 eV per formula unit

=====

6.
This record from OQMD via LeMat-Bulk describes a relaxed structure of TaTlCuTeS2. The functional is GGA-PBE.

CIF file:
```
data_TaTlCuTeS2
_cell_length_a 3.548
_cell_length_b 16.021
_cell_length_c 10.070
_cell_angle_alpha 90.00
_cell_angle_beta 90.00
_cell_angle_gamma 90.00
_space_group_name_H-M_alt 'C m c m'
_space_group_IT_number 63
_space_group_name_Hall '-C 2c 2'
loop_
_atom_site_label
_atom_site_type_symbol
_atom_site_fract_x
_atom_site_fract_y
_atom_site_fract_z
Ta1 Ta 0.000 0.000 0.000
Tl1 Tl 0.000 0.224 0.250
Cu1 Cu 0.000 0.466 0.750
Te1 Te 0.000 0.087 0.750
S1 S 0.000 0.396 0.556
```

Properties
Crystal system ... orthorhombic
M_tot ... 0.0 Bohr magnetons per cell
Calculated total energy ... -32.1 eV per formula unit

=====

7.
This record from OQMD via LeMat-Bulk describes a relaxed structure of ErHIBr. The functional is GGA-PBE.

CIF file:
```
data_ErHIBr
_cell_length_a 3.8844
_cell_length_b 3.8844
_cell_length_c 15.5002
_cell_angle_alpha 90.00
_cell_angle_beta 90.00
_cell_angle_gamma 120.00
_space_group_name_H-M_alt 'P -3 m 1'
_space_group_IT_number 164
_space_group_name_Hall '-P 3 2"'
loop_
_atom_site_label
_atom_site_type_symbol
_atom_site_fract_x
_atom_site_fract_y
_atom_site_fract_z
Er1 Er 0.0000 0.0000 0.2443
H1 H 0.3333 0.6667 0.2476
I1 I 0.3333 0.6667 0.6182
Br1 Br 0.3333 0.6667 0.8762
```

Properties
Crystal system ... trigonal
M_tot ... 0.0 Bohr magnetons per cell
Calculated total energy ... -16.4 eV per formula unit

=====

8.
This record from OQMD via LeMat-Bulk describes a relaxed structure of Na4TlCdPd2. The functional is GGA-PBE.

CIF file:
```
data_Na4TlCdPd2
_cell_length_a 4.911
_cell_length_b 4.911
_cell_length_c 6.943
_cell_angle_alpha 90.00
_cell_angle_beta 90.00
_cell_angle_gamma 90.00
_space_group_name_H-M_alt 'P -4 m 2'
_space_group_IT_number 115
_space_group_name_Hall 'P -4 -2'
loop_
_atom_site_label
_atom_site_type_symbol
_atom_site_fract_x
_atom_site_fract_y
_atom_site_fract_z
Na1 Na 0.000 0.000 0.000
Na2 Na 0.000 0.500 0.247
Na3 Na 0.500 0.500 0.500
Tl1 Tl 0.000 0.000 0.500
Cd1 Cd 0.500 0.500 0.000
Pd1 Pd 0.000 0.500 0.752
```

Properties
Crystal system ... tetragonal
Calculated total energy ... -20.1 eV per formula unit

=====

9.
This record from OQMD via LeMat-Bulk describes a relaxed structure of NpSbBr6. The functional is GGA-PBE.

CIF file:
```
data_NpSbBr6
_cell_length_a 7.399
_cell_length_b 12.589
_cell_length_c 7.120
_cell_angle_alpha 90.00
_cell_angle_beta 110.34
_cell_angle_gamma 90.00
_space_group_name_H-M_alt 'C 1 2 1'
_space_group_IT_number 5
_space_group_name_Hall 'C 2y'
loop_
_atom_site_label
_atom_site_type_symbol
_atom_site_fract_x
_atom_site_fract_y
_atom_site_fract_z
Np1 Np 0.000 0.000 0.000
Sb1 Sb 0.000 0.333 0.000
Br1 Br 0.232 0.169 0.242
Br2 Br 0.234 0.342 0.759
Br3 Br 0.247 0.987 0.760
```

Properties
Crystal system ... monoclinic
M_tot ... 8.0 Bohr magnetons per cell
Calculated total energy ... -34.8 eV per formula unit

=====

10.
This record from OQMD via LeMat-Bulk describes a relaxed structure of MgTcBi2. The functional is GGA-PBE.

CIF file:
```
data_MgTcBi2
_cell_length_a 7.125
_cell_length_b 7.125
_cell_length_c 7.125
_cell_angle_alpha 90.00
_cell_angle_beta 90.00
_cell_angle_gamma 90.00
_space_group_name_H-M_alt 'F -4 3 m'
_space_group_IT_number 216
_space_group_name_Hall 'F -4 2 3'
loop_
_atom_site_label
_atom_site_type_symbol
_atom_site_fract_x
_atom_site_fract_y
_atom_site_fract_z
Mg1 Mg 0.000 0.000 0.000
Tc1 Tc 0.250 0.250 0.750
Bi1 Bi 0.000 0.000 0.500
Bi2 Bi 0.250 0.250 0.250
```

Properties
Crystal system ... cubic
M_tot ... 1.2 Bohr magnetons per cell
Calculated total energy ... -17.4 eV per formula unit

=====

11.
This record from OQMD via LeMat-Bulk describes a relaxed structure of MgZnSi2P4. The functional is GGA-PBE.

CIF file:
```
data_MgZnSi2P4
_cell_length_a 5.558
_cell_length_b 5.558
_cell_length_c 10.447
_cell_angle_alpha 90.00
_cell_angle_beta 90.00
_cell_angle_gamma 90.00
_space_group_name_H-M_alt 'I -4'
_space_group_IT_number 82
_space_group_name_Hall 'I -4'
loop_
_atom_site_label
_atom_site_type_symbol
_atom_site_fract_x
_atom_site_fract_y
_atom_site_fract_z
Mg1 Mg 0.000 0.000 0.000
Zn1 Zn 0.000 0.500 0.750
Si1 Si 0.000 0.000 0.500
Si2 Si 0.000 0.500 0.250
P1 P 0.220 0.758 0.372
```

Properties
Crystal system ... tetragonal
Calculated total energy ... -38.1 eV per formula unit

=====

12.
This record from OQMD via LeMat-Bulk describes a relaxed structure of NaTmSeO. The functional is GGA-PBE.

CIF file:
```
data_NaTmSeO
_cell_length_a 4.347
_cell_length_b 7.453
_cell_length_c 6.141
_cell_angle_alpha 90.00
_cell_angle_beta 90.00
_cell_angle_gamma 90.00
_space_group_name_H-M_alt 'P m c 21'
_space_group_IT_number 26
_space_group_name_Hall 'P 2c -2'
loop_
_atom_site_label
_atom_site_type_symbol
_atom_site_fract_x
_atom_site_fract_y
_atom_site_fract_z
Na1 Na 0.000 0.211 0.000
Tm1 Tm 0.500 0.370 0.410
Se1 Se 0.000 0.180 0.529
O1 O 0.500 0.387 0.072
```

Properties
Crystal system ... orthorhombic
M_tot ... 0.0 Bohr magnetons per cell
Polymorph energy (0 for the lowest one) ... 188.5 meV per atom
Calculated total energy ... -22.7 eV per formula unit